Ba4BeAs | SCAN | PBEsol geometry Values from VASP.

Computed properties:
DOS at the Fermi energy   4.17 states/eV/cell
Calculated formation energy   0.650 eV per atom

Geometry as Quantum ESPRESSO input:
```
&SYSTEM
  ibrav = 0, nat = 6, ntyp = 3
/
ATOMIC_SPECIES
Ba 137.33 Ba.upf
Be 9.01 Be.upf
As 74.92 As.upf
CELL_PARAMETERS angstrom
0.000 4.837 4.837
4.837 0.000 4.837
4.837 4.837 0.000
ATOMIC_POSITIONS angstrom
Ba 1.197 1.197 1.197
Ba 3.639 3.639 1.197
Ba 3.639 1.197 3.639
Ba 1.197 3.639 3.639
Be 4.837 4.837 4.837
As 7.255 7.255 7.255
```

---

CaLaI2N | SCAN | PBEsol geometry Values from VASP.

Computed properties:
Uncorrected energy   -137.7 eV/cell
DOS at the Fermi energy   3.00 states/eV/cell

Geometry as Quantum ESPRESSO input:
```
&SYSTEM
  ibrav = 0, nat = 5, ntyp = 4
/
ATOMIC_SPECIES
Ca 40.08 Ca.upf
La 138.91 La.upf
I 126.90 I.upf
N 14.01 N.upf
CELL_PARAMETERS angstrom
5.817 0.000 0.000
0.000 5.817 0.000
0.000 0.000 4.166
ATOMIC_POSITIONS angstrom
Ca 0.000 0.000 0.000
La 2.908 2.908 2.083
I 0.000 2.908 0.000
I 2.908 0.000 0.000
N 0.000 0.000 2.083
```

---

KAg4Ru | SCAN | PBEsol geometry Values from VASP.

Computed properties:
DOS at the Fermi energy   2.88 states/eV/cell
Calculated formation energy   0.589 eV per atom

Geometry as Quantum ESPRESSO input:
```
&SYSTEM
  ibrav = 0, nat = 6, ntyp = 3
/
ATOMIC_SPECIES
K 39.10 K.upf
Ag 107.87 Ag.upf
Ru 101.07 Ru.upf
CELL_PARAMETERS angstrom
0.000 3.859 3.859
3.859 0.000 3.859
3.859 3.859 0.000
ATOMIC_POSITIONS angstrom
K 0.000 0.000 0.000
Ag 4.819 2.899 2.899
Ag 2.899 4.819 2.899
Ag 2.899 2.899 4.819
Ag 4.819 4.819 4.819
Ru 1.929 1.929 1.929
```

---

YScTc2 | SCAN | PBEsol geometry Values from VASP.

Computed properties:
DOS at the Fermi energy   5.79 states/eV/cell
Offset from the most stable computed form   0 meV/atom
Calculated formation energy   0.171 eV per atom

Geometry as Quantum ESPRESSO input:
```
&SYSTEM
  ibrav = 0, nat = 8, ntyp = 3
/
ATOMIC_SPECIES
Y 88.91 Y.upf
Sc 44.96 Sc.upf
Tc 98.00 Tc.upf
CELL_PARAMETERS angstrom
3.279 0.000 0.000
0.000 4.912 0.000
0.000 0.000 8.753
ATOMIC_POSITIONS angstrom
Y 0.000 0.000 0.000
Y 1.640 2.456 4.376
Sc 0.000 0.000 4.376
Sc 1.640 2.456 0.000
Tc 0.000 2.456 2.150
Tc 0.000 2.456 6.603
Tc 1.640 0.000 2.226
Tc 1.640 0.000 6.526
```

---

ScCdRu2 | SCAN | PBEsol geometry Values from VASP.

Computed properties:
DOS at the Fermi energy   3.86 states/eV/cell
Calculated formation energy   0.049 eV per atom

Geometry as Quantum ESPRESSO input:
```
&SYSTEM
  ibrav = 0, nat = 4, ntyp = 3
/
ATOMIC_SPECIES
Sc 44.96 Sc.upf
Cd 112.41 Cd.upf
Ru 101.07 Ru.upf
CELL_PARAMETERS angstrom
3.185 0.000 0.000
0.000 4.287 0.000
0.000 0.000 4.673
ATOMIC_POSITIONS angstrom
Sc 0.000 0.000 0.000
Cd 1.593 0.000 2.336
Ru 0.000 2.144 2.336
Ru 1.593 2.144 0.000
```

---

Y2ScPt | SCAN | PBEsol geometry Values from VASP.

Computed properties:
DOS at the Fermi energy   8.92 states/eV/cell
Offset from the most stable computed form   45 meV/atom
Calculated formation energy   -0.739 eV per atom

Geometry as Quantum ESPRESSO input:
```
&SYSTEM
  ibrav = 0, nat = 8, ntyp = 3
/
ATOMIC_SPECIES
Y 88.91 Y.upf
Sc 44.96 Sc.upf
Pt 195.08 Pt.upf
CELL_PARAMETERS angstrom
3.637 0.000 0.000
0.000 4.652 0.000
0.000 0.000 11.851
ATOMIC_POSITIONS angstrom
Y 0.000 0.000 0.000
Y 0.000 2.326 5.925
Y 1.818 0.000 3.676
Y 1.818 2.326 9.602
Sc 1.818 0.000 7.225
Sc 1.818 2.326 1.300
Pt 0.000 0.000 9.086
Pt 0.000 2.326 3.160
```

---

Mg2MnO | SCAN | PBEsol geometry Values from VASP.

Computed properties:
Uncorrected energy   -153.0 eV/cell
DOS at the Fermi energy   5.74 states/eV/cell

Geometry as Quantum ESPRESSO input:
```
&SYSTEM
  ibrav = 0, nat = 16, ntyp = 3
/
ATOMIC_SPECIES
Mg 24.30 Mg.upf
Mn 54.94 Mn.upf
O 16.00 O.upf
CELL_PARAMETERS angstrom
6.241 0.000 0.000
0.000 6.241 0.000
0.000 0.000 6.918
ATOMIC_POSITIONS angstrom
Mg 0.846 4.681 0.865
Mg 1.560 0.846 6.053
Mg 1.560 2.275 2.594
Mg 2.275 4.681 4.324
Mg 3.966 1.560 4.324
Mg 4.681 3.966 2.594
Mg 4.681 5.396 6.053
Mg 5.396 1.560 0.865
Mn 0.000 0.000 3.459
Mn 0.000 3.121 5.189
Mn 3.121 0.000 1.730
Mn 3.121 3.121 0.000
O 0.000 0.000 0.000
O 0.000 3.121 1.730
O 3.121 0.000 5.189
O 3.121 3.121 3.459
```

---

MnBe2Ru2 | SCAN | PBEsol geometry Values from VASP.

Computed properties:
DOS at the Fermi energy   4.93 states/eV/cell
Calculated formation energy   -0.464 eV per atom

Geometry as Quantum ESPRESSO input:
```
&SYSTEM
  ibrav = 0, nat = 10, ntyp = 3
/
ATOMIC_SPECIES
Mn 54.94 Mn.upf
Be 9.01 Be.upf
Ru 101.07 Ru.upf
CELL_PARAMETERS angstrom
6.005 0.000 0.000
0.000 6.005 0.000
0.000 0.000 2.960
ATOMIC_POSITIONS angstrom
Mn 0.000 0.000 0.000
Mn 3.003 3.003 0.000
Be 0.730 2.273 0.000
Be 2.273 5.275 0.000
Be 3.733 0.730 0.000
Be 5.275 3.733 0.000
Ru 1.055 4.058 1.480
Ru 1.948 1.055 1.480
Ru 4.058 4.950 1.480
Ru 4.950 1.948 1.480
```

---

Question: What is the DOS at the Fermi energy in the third record?
Answer: 2.88 states/eV/cell